The following is a PBE-GGA calculation of a relaxed structure of TeMo4Se, from Alexandria.

Structure (extended XYZ):
```
6
Lattice="5.0481 -0.5566 -1.7039 2.1058 -4.8909 -0.5843 0.9752 -1.9282 -4.9018" Properties=species:S:1:pos:R:3 pbc="T T T"
Mo 4.1010 -5.1963 -2.9944
Mo 3.5412 -3.7295 -5.1319
Se 6.0969 -5.5317 -5.3926
Mo 3.0584 -2.7749 -2.7051
Mo 5.5577 -3.0505 -3.5487
Te 0.0000 0.0000 0.0000
```

Results
Its space group is F-43m. As for the raw formation energy: 675.4 meV per atom.